LaTb2SmBi4 | PBE | relaxed

Values from the calculation:
E_form   -932 meV per atom
VASP energy   -41.88 eV for the cell shown
Space group   P2/m, No. 10

Lattice parameters (Å, degrees): 4.571 7.899 7.908 70.51 90.00 90.00
Sites, in units of the cell vectors:
La1 0.500 0.500 0.000
Tb1 0.000 0.000 0.000
Tb2 0.500 0.000 0.500
Sm1 0.000 0.500 0.500
Bi1 0.000 0.759 0.744
Bi2 0.000 0.241 0.256
Bi3 0.500 0.757 0.251
Bi4 0.500 0.243 0.749